1.
This record from the Alexandria database describes a geometry-optimized La2PrS structure. The functional is GGA-PBE.

The structure in POSCAR format:
```
La2PrS
1.0
3.946 0.000 0.000
1.973 3.418 0.000
1.973 1.139 9.714
La S Pr
2 1 1
Direct
0.271 0.271 0.186 La
0.062 0.062 0.815 La
0.667 0.667 0.999 S
0.500 0.500 0.499 Pr
```

## Properties
- volume (A^3/atom) = 32.75
- E_tot (eV/atom) = -5.637
- formation energy (no corrections) (eV/atom) = -0.947
- spin magnetization (μB per cell) = 0.0
- DOS(E_F) (states/eV/cell) = 4.46

2.
This record from the Alexandria database describes a geometry-optimized PrNiB2Ru structure. The functional is GGA-PBE.

The structure in POSCAR format:
```
PrNiB2Ru
1.0
3.724 0.000 0.000
0.000 3.724 0.000
-1.862 -1.862 5.130
Ru Pr B Ni
1 1 2 1
Direct
0.250 0.750 0.500 Ru
0.000 0.000 0.000 Pr
0.342 0.342 0.684 B
0.658 0.658 0.316 B
0.750 0.250 0.500 Ni
```

## Properties
- volume (A^3/atom) = 14.22
- E_tot (eV/atom) = -7.098
- spin magnetization (μB per cell) = 0.0
- calculated formation energy (meV/atom) = -460
- DOS(E_F) (states/eV/cell) = 2.05

3.
This record from the Alexandria database describes a geometry-optimized TlMo2Os structure. The functional is GGA-PBE.

The structure in POSCAR format:
```
TlMo2Os
1.0
-3.194 -0.933 0.456
1.362 -3.811 1.744
0.034 1.907 4.140
Tl Os Mo
1 1 2
Direct
0.000 0.500 0.500 Tl
0.500 0.000 0.500 Os
0.000 0.000 0.000 Mo
0.500 0.500 0.000 Mo
```

## Properties
- volume (A^3/atom) = 16.87
- E_tot (eV/atom) = -8.066
- E above lowest polymorph (meV per atom) = 368
- spin magnetization (μB per cell) = 0.0
- calculated formation energy (meV/atom) = 749
- DOS(E_F) (states/eV/cell) = 3.74

4.
This record from the Alexandria database describes a geometry-optimized Pr2Al4HgPt3 structure. The functional is GGA-PBE.

The structure in POSCAR format:
```
Pr2Al4HgPt3
1.0
-1.293 1.525 3.897
-3.720 -2.287 -0.339
4.599 -8.183 4.729
Pr Hg Pt Al
2 1 3 4
Direct
0.500 0.000 0.242 Pr
0.000 0.500 0.758 Pr
0.500 0.500 0.500 Hg
0.000 0.000 0.500 Pt
0.000 0.500 0.126 Pt
0.500 0.000 0.874 Pt
0.000 0.000 0.000 Al
0.000 0.500 0.361 Al
0.500 0.500 0.000 Al
0.500 0.000 0.639 Al
```

## Properties
- volume (A^3/atom) = 20.16
- E_tot (eV/atom) = -5.216
- spin magnetization (μB per cell) = 0.0
- calculated formation energy (meV/atom) = -921
- DOS(E_F) (states/eV/cell) = 7.67

5.
This record from the Alexandria database describes a geometry-optimized LiFeCoMo structure. The functional is GGA-PBE.

The structure in POSCAR format:
```
LiFeCoMo
1.0
4.063 0.000 0.000
2.031 3.518 0.000
2.031 1.173 3.317
Co Mo Fe Li
1 1 1 1
Direct
0.750 0.750 0.750 Co
0.000 0.000 0.000 Mo
0.250 0.250 0.250 Fe
0.500 0.500 0.500 Li
```

## Properties
- volume (A^3/atom) = 11.85
- E_tot (eV/atom) = -6.912
- spin magnetization (μB per cell) = 0.0
- calculated formation energy (meV/atom) = 166
- DOS(E_F) (states/eV/cell) = 1.64

6.
This record from the Alexandria database describes a geometry-optimized Cr2TeSe structure. The functional is GGA-PBE.

The structure in POSCAR format:
```
Cr2TeSe
1.0
-3.046 2.806 2.474
-3.120 2.831 -2.350
-4.713 -1.028 0.067
Te Cr Se
1 2 1
Direct
0.500 0.500 0.500 Te
0.750 0.750 0.750 Cr
0.250 0.250 0.250 Cr
0.000 0.000 0.000 Se
```

## Properties
- volume (A^3/atom) = 19.85
- E_tot (eV/atom) = -6.288
- formation energy (no corrections) (eV/atom) = 0.180
- E above lowest polymorph (meV per atom) = 337
- spin magnetization (μB per cell) = 7.7
- DOS(E_F) (states/eV/cell) = 1.16

7.
This record from the Alexandria database describes a geometry-optimized Sm2DyTm2 structure. The functional is GGA-PBE.

The structure in POSCAR format:
```
Sm2DyTm2
1.0
5.592 0.000 0.000
0.000 7.023 0.000
0.000 0.000 16.230
Tm Sm Dy
8 8 4
Direct
0.250 0.375 0.463 Tm
0.250 0.624 0.849 Tm
0.750 0.876 0.349 Tm
0.250 0.875 0.037 Tm
0.750 0.625 0.537 Tm
0.250 0.124 0.651 Tm
0.750 0.125 0.963 Tm
0.750 0.376 0.151 Tm
0.750 0.878 0.150 Sm
0.250 0.627 0.249 Sm
0.750 0.378 0.350 Sm
0.750 0.373 0.751 Sm
0.750 0.873 0.749 Sm
0.250 0.122 0.850 Sm
0.250 0.622 0.650 Sm
0.250 0.127 0.251 Sm
0.250 0.874 0.463 Dy
0.750 0.126 0.537 Dy
0.250 0.374 0.037 Dy
0.750 0.626 0.963 Dy
```

## Properties
- volume (A^3/atom) = 31.87
- E_tot (eV/atom) = -4.553
- E above lowest polymorph (meV per atom) = 37
- spin magnetization (μB per cell) = 0.0
- calculated formation energy (meV/atom) = 44
- DOS(E_F) (states/eV/cell) = 34.35

8.
This record from the Alexandria database describes a geometry-optimized Er6Hg3C structure. The functional is GGA-PBE.

The structure in POSCAR format:
```
Er6Hg3C
1.0
-0.950 3.184 -5.667
2.184 -6.430 -3.978
-9.601 -2.694 -0.916
Er Hg C
12 6 2
Direct
0.813 0.648 0.554 Er
0.187 0.352 0.446 Er
0.120 0.284 0.064 Er
0.852 0.953 0.226 Er
0.620 0.216 0.564 Er
0.313 0.852 0.054 Er
0.352 0.547 0.726 Er
0.648 0.453 0.274 Er
0.148 0.047 0.774 Er
0.687 0.148 0.946 Er
0.880 0.716 0.936 Er
0.380 0.784 0.436 Er
0.070 0.612 0.243 Hg
0.000 0.000 0.500 Hg
0.570 0.888 0.743 Hg
0.930 0.388 0.757 Hg
0.430 0.112 0.257 Hg
0.500 0.500 0.000 Hg
0.500 0.500 0.500 C
0.000 0.000 0.000 C
```

## Properties
- volume (A^3/atom) = 25.79
- E_tot (eV/atom) = -4.081
- spin magnetization (μB per cell) = 1.3
- calculated formation energy (meV/atom) = -331
- DOS(E_F) (states/eV/cell) = 21.96

| no. | theoretical density (g/cm3) |
| --- | --- |
| 1 | 5.71 |
| 2 | 7.52 |
| 3 | 14.43 |
| 4 | 9.68 |
| 5 | 7.62 |
| 6 | 6.50 |
| 7 | 8.35 |
| 8 | 10.41 |